A relaxed KNbTl3 crystal, computed with PBE.

distance to the lowest polymorph of the same formula	1.387	eV per atom
E_tot	-1.9946	eV per atom
DOS(E_F)	1.200	states/eV per atom

a = 5.649 Å, b = 5.649 Å, c = 5.649 Å
α = 90.00°, β = 90.00°, γ = 90.00°
Positions (direct):
Tl 0.500 0.000 0.000
Nb 0.500 0.500 0.500
Tl 0.000 0.000 0.500
K 0.000 0.000 0.000
Tl 0.000 0.500 0.000

---

A relaxed Ac2Tb5Pr5 crystal, computed with PBE.

E_tot	-4.5734	eV per atom
DOS(E_F)	1.578	states/eV per atom

a = 5.201 Å, b = 8.291 Å, c = 11.092 Å
α = 72.78°, β = 76.44°, γ = 71.72°
Positions (direct):
Tb 0.415 0.921 0.249
Ac 0.083 0.586 0.249
Pr 0.754 0.245 0.247
Tb 0.666 0.670 0.998
Ac 0.917 0.414 0.751
Tb 0.585 0.079 0.751
Tb 0.334 0.330 0.002
Pr 0.167 0.165 0.500
Pr 0.833 0.835 0.500
Pr 0.000 0.000 0.000
Tb 0.500 0.500 0.500
Pr 0.246 0.755 0.753

---

A relaxed TbPtRhAu crystal, computed with PBE.

distance to the lowest polymorph of the same formula	0.000	eV per atom
E_tot	-6.0992	eV per atom
DOS(E_F)	0.898	states/eV per atom

a = 4.004 Å, b = 4.266 Å, c = 4.196 Å
α = 90.00°, β = 90.00°, γ = 90.00°
Positions (direct):
Tb 0.000 0.000 0.000
Au 0.000 0.500 0.500
Rh 0.500 0.000 0.500
Pt 0.500 0.500 0.000